The following is a GGA-PBE calculation of a relaxed structure of TaBi, from OQMD.

Cell lengths 6.493, 6.493, 6.493 Å; angles 90.00, 90.00, 90.00 degrees
Space group F-43m (No. 216)
Symmetry-distinct sites (fractional):
1 Ta 0.000 0.000 0.000 x4
2 Bi 0.250 0.250 0.250 x4

Calculated values
- Calculated total energy: -6.3661 eV per atom
- Theoretical density: 9.461 g/cm³

---

The following is a GGA-PBE calculation of a relaxed structure of ZrGe2Mo2, from OQMD.

Cell lengths 3.914, 3.914, 11.478 Å; angles 90.00, 90.00, 90.00 degrees
Space group I4/mmm (No. 139)
Symmetry-distinct sites (fractional):
1 Zr 0.000 0.000 0.000 x2
2 Ge 0.000 0.000 0.396 x4
3 Mo 0.000 0.500 0.250 x4

Calculated values
- Relative energy among the computed polymorphs: 85.0 meV/atom
- Calculated total energy: -8.0389 eV per atom
- Theoretical density: 8.090 g/cm³

---

The following is a GGA-PBE calculation of a relaxed structure of NaTbPO, from OQMD.

Cell lengths 3.958, 3.958, 4.900 Å; angles 90.00, 90.00, 90.00 degrees
Space group P4/mmm (No. 123)
Symmetry-distinct sites (fractional):
1 Na 0.000 0.000 0.000 x1
2 Tb 0.500 0.500 0.500 x1
3 P 0.000 0.000 0.500 x1
4 O 0.500 0.500 0.000 x1

Calculated values
- Relative energy among the computed polymorphs: 412.0 meV/atom
- Calculated total energy: -5.2931 eV per atom
- Theoretical density: 4.951 g/cm³

---

The following is a GGA-PBE calculation of a relaxed structure of CsBaFe, from OQMD.

Cell lengths 8.358, 8.358, 8.358 Å; angles 90.00, 90.00, 90.00 degrees
Space group F-43m (No. 216)
Symmetry-distinct sites (fractional):
1 Cs 0.000 0.000 0.000 x4
2 Ba 0.000 0.000 0.500 x4
3 Fe 0.250 0.250 0.750 x4

Calculated values
- Calculated total energy: -2.7581 eV per atom
- Theoretical density: 3.710 g/cm³

---

Copy entry 4 word for word.
The following is a GGA-PBE calculation of a relaxed structure of CsBaFe, from OQMD.

Cell lengths 8.358, 8.358, 8.358 Å; angles 90.00, 90.00, 90.00 degrees
Space group F-43m (No. 216)
Symmetry-distinct sites (fractional):
1 Cs 0.000 0.000 0.000 x4
2 Ba 0.000 0.000 0.500 x4
3 Fe 0.250 0.250 0.750 x4

Calculated values
- Calculated total energy: -2.7581 eV per atom
- Theoretical density: 3.710 g/cm³

---

> theoretical density of number 1 (TaBi)?

9.461 g/cm³

---

> The highest calculated total energy belongs to which entry?

CsBaFe